Li2MgW after structural relaxation, computed with PBE-GGA.

Geometry as extended XYZ:
```
8
Lattice="4.0771 0.0000 0.0000 0.0000 4.0771 0.0000 0.0000 0.0000 8.1936" Properties=species:S:1:pos:R:3 pbc="T T T"
Li 0.0000 2.0386 2.0484
Li 0.0000 2.0386 6.1452
Li 2.0386 0.0000 2.0484
Li 2.0386 0.0000 6.1452
Mg 0.0000 0.0000 0.0000
Mg 2.0386 2.0386 4.0968
W 0.0000 0.0000 4.0968
W 2.0386 2.0386 0.0000
```

Crystal system = tetragonal
Energy of formation from the pure elements = 0.84 eV/atom